Run P
This record from Alexandria describes a geometry-optimized Ba2ScRe structure. The functional is PBE.

It has space group I-42d (No. 122), with a = 11.936 Å, b = 11.936 Å, c = 5.030 Å, α = 90.00°, β = 90.00° and γ = 90.00°. The asymmetric unit holds Ba at (0.071, 0.250, 0.125), Sc at (0.000, 0.000, 0.500) and Re at (0.000, 0.000, 0.000).

The density of states at the Fermi level is 1.6 states/eV/f.u.


Run Q
This record from Alexandria describes a geometry-optimized Ba2ScRe structure. The functional is PBE.

It has space group Cm (No. 8), with a = 8.076 Å, b = 4.655 Å, c = 8.825 Å, α = 90.00°, β = 107.66° and γ = 90.00°. The asymmetric unit holds Ba at (0.000, 0.000, 0.000), Ba at (0.172, 0.000, 0.520), Sc at (0.419, 0.000, 0.261) and Re at (0.253, 0.500, 0.262).

The density of states at the Fermi level is 3.8 states/eV/f.u.


Which one sits at the bottom of the stability order? run P does.


Run P
This record from Alexandria describes a geometry-optimized Ba2ScRe structure. The functional is PBE.

It has space group Imm2 (No. 44), with a = 3.633 Å, b = 6.086 Å, c = 12.257 Å, α = 90.00°, β = 90.00° and γ = 90.00°. The asymmetric unit holds Ba at (0.000, 0.000, 0.000), Ba at (0.000, 0.500, 0.189), Sc at (0.000, 0.500, 0.820) and Re at (0.000, 0.000, 0.471).

The density of states at the Fermi level is 4.4 states/eV/f.u.


Run Q
This record from Alexandria describes a geometry-optimized Ba2ScRe structure. The functional is PBE.

It has space group P4/mmm (No. 123), with a = 3.498 Å, b = 3.498 Å, c = 10.655 Å, α = 90.00°, β = 90.00° and γ = 90.00°. The asymmetric unit holds Ba at (0.000, 0.000, 0.203), Sc at (0.500, 0.500, 0.500) and Re at (0.500, 0.500, 0.000).

The density of states at the Fermi level is 5.8 states/eV/f.u.


Which one sits at the bottom of the stability order? run Q does.


Run P
This record from Alexandria describes a geometry-optimized Ba2ScRe structure. The functional is PBE.

It has space group Fm-3m (No. 225), with a = 7.709 Å, b = 7.709 Å, c = 7.709 Å, α = 90.00°, β = 90.00° and γ = 90.00°. The asymmetric unit holds Ba at (0.250, 0.250, 0.250), Sc at (0.000, 0.000, 0.000) and Re at (0.000, 0.000, 0.500).

The density of states at the Fermi level is 3.9 states/eV/f.u.


Run Q
This record from Alexandria describes a geometry-optimized Ba2ScRe structure. The functional is PBE.

It has space group P4/mmm (No. 123), with a = 4.659 Å, b = 4.659 Å, c = 5.358 Å, α = 90.00°, β = 90.00° and γ = 90.00°. The asymmetric unit holds Ba at (0.000, 0.500, 0.000), Sc at (0.000, 0.000, 0.500) and Re at (0.500, 0.500, 0.500).

The density of states at the Fermi level is 4.9 states/eV/f.u.


Which one sits at the bottom of the stability order? run P does.


Run P
This record from Alexandria describes a geometry-optimized BaSc2Re structure. The functional is PBE.

It has space group P2/m (No. 10), with a = 3.358 Å, b = 3.359 Å, c = 9.507 Å, α = 90.00°, β = 90.43° and γ = 90.00°. The asymmetric unit holds Ba at (0.000, 0.000, 0.000), Sc at (0.500, 0.500, 0.342) and Re at (0.000, 0.000, 0.500).

The density of states at the Fermi level is 6.4 states/eV/f.u.


Run Q
This record from Alexandria describes a geometry-optimized BaSc2Re structure. The functional is PBE.

It has space group P4mm (No. 99), with a = 3.708 Å, b = 3.708 Å, c = 8.039 Å, α = 90.00°, β = 90.00° and γ = 90.00°. The asymmetric unit holds Ba at (0.000, 0.000, 0.000), Sc at (0.000, 0.000, 0.408), Sc at (0.500, 0.500, 0.618) and Re at (0.500, 0.500, 0.294).

The density of states at the Fermi level is 4.2 states/eV/f.u.


Run R
This record from Alexandria describes a geometry-optimized BaSc2Re structure. The functional is PBE.

It has space group Imm2 (No. 44), with a = 3.338 Å, b = 4.555 Å, c = 15.592 Å, α = 90.00°, β = 90.00° and γ = 90.00°. The asymmetric unit holds Ba at (0.000, 0.000, 0.000), Sc at (0.000, 0.000, 0.314), Sc at (0.000, 0.500, 0.181) and Re at (0.000, 0.500, 0.684).

The density of states at the Fermi level is 5.1 states/eV/f.u.


Which one sits at the bottom of the stability order? run R does.


Run P
This record from Alexandria describes a geometry-optimized BaSc2Re structure. The functional is PBE.

It has space group Cmm2 (No. 35), with a = 3.708 Å, b = 5.167 Å, c = 10.622 Å, α = 90.00°, β = 90.00° and γ = 90.00°. The asymmetric unit holds Ba at (0.000, 0.000, 0.000), Sc at (0.000, 0.000, 0.416), Sc at (0.000, 0.500, 0.670) and Re at (0.000, 0.500, 0.237).

The density of states at the Fermi level is 5.8 states/eV/f.u.


Run Q
This record from Alexandria describes a geometry-optimized BaSc2Re structure. The functional is PBE.

It has space group Immm (No. 71), with a = 3.346 Å, b = 6.036 Å, c = 11.058 Å, α = 90.00°, β = 90.00° and γ = 90.00°. The asymmetric unit holds Ba at (0.000, 0.000, 0.000), Sc at (0.000, 0.500, 0.185) and Re at (0.000, 0.000, 0.500).

The density of states at the Fermi level is 4.8 states/eV/f.u.


Which one sits at the bottom of the stability order? run P does.


Run P
This record from Alexandria describes a geometry-optimized BaSc2Re structure. The functional is PBE.

It has space group Fm-3m (No. 225), with a = 7.168 Å, b = 7.168 Å, c = 7.168 Å, α = 90.00°, β = 90.00° and γ = 90.00°. The asymmetric unit holds Ba at (0.000, 0.000, 0.000), Sc at (0.250, 0.250, 0.250) and Re at (0.000, 0.000, 0.500).

The density of states at the Fermi level is 4.4 states/eV/f.u.


Run Q
This record from Alexandria describes a geometry-optimized BaSc2Re structure. The functional is PBE.

It has space group P4/mmm (No. 123), with a = 4.888 Å, b = 4.888 Å, c = 3.856 Å, α = 90.00°, β = 90.00° and γ = 90.00°. The asymmetric unit holds Ba at (0.000, 0.000, 0.000), Sc at (0.000, 0.500, 0.500) and Re at (0.500, 0.500, 0.000).

The density of states at the Fermi level is 5.4 states/eV/f.u.


Run R
This record from Alexandria describes a geometry-optimized BaSc2Re structure. The functional is PBE.

It has space group I4_1/amd (No. 141, origin choice 2), with a = 7.744 Å, b = 7.744 Å, c = 11.028 Å, α = 90.00°, β = 90.00° and γ = 90.00°. The asymmetric unit holds Ba at (0.000, 0.250, 0.375), Sc at (0.000, 0.000, 0.000) and Re at (0.000, 0.250, 0.875).

The density of states at the Fermi level is 4.3 states/eV/f.u.


Run S
This record from Alexandria describes a geometry-optimized BaSc2Re structure. The functional is PBE.

It has space group R-3m (No. 166, hexagonal axes), with a = 3.3186 Å, b = 3.3186 Å, c = 32.4417 Å, α = 90.00°, β = 90.00° and γ = 120.00°. The asymmetric unit holds Ba at (0.0000, 0.0000, 0.0000), Sc at (0.0000, 0.0000, 0.1072) and Re at (0.0000, 0.0000, 0.5000).

The density of states at the Fermi level is 4.4 states/eV/f.u.


Which one sits at the bottom of the stability order? run R does.